Crystalline RbSeN2O at its relaxed geometry, computed with GGA-PBEsol.

abc: 3.7587 5.2419 5.2419
angles: 90.00 90.00 90.00
With the nearest neighbours (Å) after each atom.
Fractional coordinates of all 5 atoms:
Rb 0.5000 0.5000 0.5000  8 N 3.23
O 0.0000 0.0000 0.0000  2 Se 1.88
N 0.0000 0.0000 0.5000  2 O 2.62
Se 0.5000 0.0000 0.0000  2 O 1.88
N 0.0000 0.5000 0.0000  2 O 2.62

Output
The space group is P4/mmm, No. 123. The value obtained for the uncorrected formation energy is 788 kJ/mol of formula units. The crystal system is tetragonal. Its calculated total energy is -3.80 eV/atom. The volume is 20.7 Å³/atom. The total moment is 5.46 Bohr magnetons per cell. As for the density: 3.35 g cm⁻³.

Crystalline RbSnNO2 at its relaxed geometry, computed with GGA-PBEsol.

abc: 4.3547 4.3547 4.4551
angles: 90.00 90.00 90.00
With the nearest neighbours (Å) after each atom.
Fractional coordinates of all 5 atoms:
Sn 0.5000 0.5000 0.5000  4 N 3.08, 8 O 3.11
N 0.0000 0.0000 0.5000  2 Rb 2.23
O 0.0000 0.5000 0.0000  2 Rb 2.18
Rb 0.0000 0.0000 0.0000  4 O 2.18, 2 N 2.23
O 0.5000 0.0000 0.0000  2 Rb 2.18

Output
The space group is P4/mmm, No. 123. The value obtained for the uncorrected formation energy is 649 kJ/mol of formula units. The crystal system is tetragonal. Its calculated total energy is -3.52 eV/atom. The volume is 16.9 Å³/atom. The total moment is 1.43 Bohr magnetons per cell. As for the density: 4.92 g cm⁻³.

Crystalline RbTcN2O at its relaxed geometry, computed with GGA-PBEsol.

abc: 4.1382 4.3213 4.3213
angles: 90.00 90.00 90.00
With the nearest neighbours (Å) after each atom.
Fractional coordinates of all 5 atoms:
Rb 0.0000 0.0000 0.0000  2 O 2.07, 4 N 2.16
O 0.5000 0.0000 0.0000  2 Rb 2.07
N 0.0000 0.5000 0.0000  2 Rb 2.16
N 0.0000 0.0000 0.5000  2 Rb 2.16
Tc 0.5000 0.5000 0.5000  8 N 2.99, 4 O 3.06

Output
The space group is P4/mmm, No. 123. The value obtained for the uncorrected formation energy is 1422 kJ/mol of formula units. The crystal system is tetragonal. Its calculated total energy is -3.97 eV/atom. The volume is 15.5 Å³/atom. The total moment is 3.17 Bohr magnetons per cell. As for the density: 4.89 g cm⁻³.

Crystalline RbTeN2O at its relaxed geometry, computed with GGA-PBEsol.

abc: 4.0573 4.0573 4.1899
angles: 90.00 90.00 90.00
With the nearest neighbours (Å) after each atom.
Fractional coordinates of all 5 atoms:
Te 0.0000 0.0000 0.0000  4 N 2.03, 2 O 2.09
O 0.0000 0.0000 0.5000  2 Te 2.09
N 0.5000 0.0000 0.0000  2 Te 2.03
Rb 0.5000 0.5000 0.5000  4 O 2.87, 8 N 2.92
N 0.0000 0.5000 0.0000  2 Te 2.03

Output
The space group is P4/mmm, No. 123. The value obtained for the uncorrected formation energy is 213 kJ/mol of formula units. The crystal system is tetragonal. Its calculated total energy is -4.93 eV/atom. The volume is 13.8 Å³/atom. The total moment is 0.00 Bohr magnetons per cell. As for the density: 6.19 g cm⁻³.

Crystalline RbTeN2O at its relaxed geometry, computed with GGA-PBEsol.

abc: 4.1052 4.4031 4.4031
angles: 90.00 90.00 90.00
With the nearest neighbours (Å) after each atom.
Fractional coordinates of all 5 atoms:
N 0.0000 0.0000 0.5000  2 Rb 2.20
O 0.5000 0.0000 0.0000  2 Rb 2.05
N 0.0000 0.5000 0.0000  2 Rb 2.20
Rb 0.0000 0.0000 0.0000  2 O 2.05, 4 N 2.20
Te 0.5000 0.5000 0.5000  8 N 3.01, 4 O 3.11

Output
The space group is P4/mmm, No. 123. The value obtained for the uncorrected formation energy is 1153 kJ/mol of formula units. The crystal system is tetragonal. Its calculated total energy is -2.98 eV/atom. The volume is 15.9 Å³/atom. The total moment is 0.00 Bohr magnetons per cell. As for the density: 5.36 g cm⁻³.

Crystalline RbYNO2 at its relaxed geometry, computed with GGA-PBEsol.

abc: 4.1734 4.1734 4.3270
angles: 90.00 90.00 90.00
With the nearest neighbours (Å) after each atom.
Fractional coordinates of all 5 atoms:
O 0.0000 0.5000 0.0000  2 Rb 2.09
N 0.0000 0.0000 0.5000  2 Rb 2.16
Y 0.5000 0.5000 0.5000  4 N 2.95, 8 O 3.01
Rb 0.0000 0.0000 0.0000  4 O 2.09, 2 N 2.16
O 0.5000 0.0000 0.0000  2 Rb 2.09

Output
The space group is P4/mmm, No. 123. The value obtained for the uncorrected formation energy is 183 kJ/mol of formula units. The crystal system is tetragonal. Its calculated total energy is -5.00 eV/atom. The volume is 15.1 Å³/atom. The total moment is 0.00 Bohr magnetons per cell. As for the density: 4.86 g cm⁻³.

Crystalline RbYNO2 at its relaxed geometry, computed with GGA-PBEsol.

abc: 4.4102 4.4102 4.7204
angles: 90.00 90.00 90.00
With the nearest neighbours (Å) after each atom.
Fractional coordinates of all 5 atoms:
Rb 0.5000 0.5000 0.5000  4 N 3.12, 8 O 3.23
O 0.0000 0.5000 0.0000  2 Y 2.21
N 0.0000 0.0000 0.5000  2 Y 2.36
Y 0.0000 0.0000 0.0000  4 O 2.21, 2 N 2.36
O 0.5000 0.0000 0.0000  2 Y 2.21

Output
The space group is P4/mmm, No. 123. The value obtained for the uncorrected formation energy is -503 kJ/mol of formula units. The crystal system is tetragonal. Its calculated total energy is -6.42 eV/atom. The volume is 18.4 Å³/atom. The total moment is 3.00 Bohr magnetons per cell. As for the density: 3.99 g cm⁻³.

Crystalline RbZnNO2 at its relaxed geometry, computed with GGA-PBEsol.

abc: 4.9596 4.9596 5.3438
angles: 90.00 90.00 90.00
With the nearest neighbours (Å) after each atom.
Fractional coordinates of all 5 atoms:
O 0.0000 0.5000 0.0000  2 Rb 2.48
Zn 0.5000 0.5000 0.5000  4 N 3.51, 8 O 3.65
Rb 0.0000 0.0000 0.0000  4 O 2.48, 2 N 2.67
N 0.0000 0.0000 0.5000  2 Rb 2.67
O 0.5000 0.0000 0.0000  2 Rb 2.48

Output
The space group is P4/mmm, No. 123. The value obtained for the uncorrected formation energy is 841 kJ/mol of formula units. The crystal system is tetragonal. Its calculated total energy is -2.58 eV/atom. The volume is 26.3 Å³/atom. The total moment is 6.02 Bohr magnetons per cell. As for the density: 2.49 g cm⁻³.

Crystalline ReNO2 at its relaxed geometry, computed with GGA-PBEsol.

abc: 5.6237 6.1966 5.6237
angles: 63.01 90.00 116.99
With the nearest neighbours (Å) after each atom.
Fractional coordinates of all 8 atoms:
Re 0.7500 0.5000 0.7500  4 O 1.84
N 0.2500 0.5000 0.2500  8 O 3.36, 4 Re 3.68, 4 N 3.68
O 0.8758 0.7500 0.3750  2 Re 1.84
O 0.3750 0.2500 0.8742  2 Re 1.84
Re 0.0000 0.0000 0.0000  4 O 1.84
O 0.8742 0.7500 0.8750  2 Re 1.84
O 0.8750 0.2500 0.8758  2 Re 1.84
N 0.5000 0.0000 0.5000  8 O 3.36, 4 Re 3.68, 4 N 3.68

Output
The space group is I4_1/amd, No. 141. The value obtained for the uncorrected formation energy is 279 kJ/mol of formula units. The crystal system is tetragonal. Its calculated total energy is -7.37 eV/atom. The volume is 18.8 Å³/atom. The total moment is 5.46 Bohr magnetons per cell. As for the density: 5.13 g cm⁻³.

Crystalline ReNO2 at its relaxed geometry, computed with GGA-PBEsol.

abc: 2.7256 2.7256 6.5498
angles: 77.99 77.99 60.00
With the nearest neighbours (Å) after each atom.
Fractional coordinates of all 4 atoms:
N 0.0000 0.0000 0.0000  2 O 1.83
Re 0.5000 0.5000 0.5000  6 O 2.07
O 0.9040 0.9040 0.2881  1 N 1.83
O 0.0960 0.0960 0.7119  1 N 1.83

Output
The space group is R-3m, No. 166. The value obtained for the uncorrected formation energy is 209 kJ/mol of formula units. The crystal system is trigonal. Its calculated total energy is -7.55 eV/atom. The volume is 10.2 Å³/atom. The total moment is 1.05 Bohr magnetons per cell. As for the density: 9.43 g cm⁻³.

Crystalline ReRuNO2 at its relaxed geometry, computed with GGA-PBEsol.

abc: 3.7167 3.7167 4.0581
angles: 90.00 90.00 90.00
With the nearest neighbours (Å) after each atom.
Fractional coordinates of all 5 atoms:
N 0.0000 0.0000 0.5000  2 Ru 2.03
Re 0.5000 0.5000 0.5000  4 N 2.63, 8 O 2.75
Ru 0.0000 0.0000 0.0000  4 O 1.86, 2 N 2.03
O 0.5000 0.0000 0.0000  2 Ru 1.86
O 0.0000 0.5000 0.0000  2 Ru 1.86

Output
The space group is P4/mmm, No. 123. The value obtained for the uncorrected formation energy is 403 kJ/mol of formula units. The crystal system is tetragonal. Its calculated total energy is -7.67 eV/atom. The volume is 11.2 Å³/atom. The total moment is 3.25 Bohr magnetons per cell. As for the density: 9.87 g cm⁻³.

Crystalline ReRuN2O at its relaxed geometry, computed with GGA-PBEsol.

abc: 3.7858 3.8853 3.8853
angles: 90.00 90.00 90.00
With the nearest neighbours (Å) after each atom.
Fractional coordinates of all 5 atoms:
N 0.0000 0.5000 0.0000  2 Re 1.94
Re 0.0000 0.0000 0.0000  2 O 1.89, 4 N 1.94
O 0.5000 0.0000 0.0000  2 Re 1.89
Ru 0.5000 0.5000 0.5000  8 N 2.71, 4 O 2.75
N 0.0000 0.0000 0.5000  2 Re 1.94

Output
The space group is P4/mmm, No. 123. The value obtained for the uncorrected formation energy is 303 kJ/mol of formula units. The crystal system is tetragonal. Its calculated total energy is -8.53 eV/atom. The volume is 11.4 Å³/atom. The total moment is 3.08 Bohr magnetons per cell. As for the density: 9.63 g cm⁻³.

Crystalline TaReN2O at its relaxed geometry, computed with GGA-PBEsol.

abc: 3.7490 3.8781 3.8781
angles: 90.00 90.00 90.00
With the nearest neighbours (Å) after each atom.
Fractional coordinates of all 5 atoms:
N 0.0000 0.0000 0.5000  2 Re 1.94
Ta 0.5000 0.5000 0.5000  8 N 2.70, 4 O 2.74
Re 0.0000 0.0000 0.0000  2 O 1.87, 4 N 1.94
N 0.0000 0.5000 0.0000  2 Re 1.94
O 0.5000 0.0000 0.0000  2 Re 1.87

Output
The space group is P4/mmm, No. 123. The value obtained for the uncorrected formation energy is 127 kJ/mol of formula units. The crystal system is tetragonal. Its calculated total energy is -9.37 eV/atom. The volume is 11.3 Å³/atom. The total moment is 0.00 Bohr magnetons per cell. As for the density: 12.11 g cm⁻³.

Crystalline RhSN2O at its relaxed geometry, computed with GGA-PBEsol.

abc: 3.2633 3.6964 3.6964
angles: 90.00 90.00 90.00
With the nearest neighbours (Å) after each atom.
Fractional coordinates of all 5 atoms:
N 0.0000 0.0000 0.5000  2 S 1.85
Rh 0.5000 0.5000 0.5000  8 N 2.47, 4 O 2.61
N 0.0000 0.5000 0.0000  2 S 1.85
O 0.5000 0.0000 0.0000  2 S 1.63
S 0.0000 0.0000 0.0000  2 O 1.63

Output
The space group is P4/mmm, No. 123. The value obtained for the uncorrected formation energy is 621 kJ/mol of formula units. The crystal system is tetragonal. Its calculated total energy is -5.68 eV/atom. The volume is 8.9 Å³/atom. The total moment is 0.00 Bohr magnetons per cell. As for the density: 6.67 g cm⁻³.

Crystalline RhSN2O at its relaxed geometry, computed with GGA-PBEsol.

abc: 3.5966 3.5966 5.1066
angles: 90.00 90.00 90.00
With the nearest neighbours (Å) after each atom.
Fractional coordinates of all 5 atoms:
O 0.5000 0.5000 0.5000  4 S 2.54
N 0.0000 0.5000 0.0000  2 Rh 1.80
Rh 0.0000 0.0000 0.0000  4 N 1.80
S 0.0000 0.0000 0.5000  4 O 2.54, 2 Rh 2.55
N 0.5000 0.0000 0.0000  2 Rh 1.80

Output
The space group is P4/mmm, No. 123. The value obtained for the uncorrected formation energy is 667 kJ/mol of formula units. The crystal system is tetragonal. Its calculated total energy is -5.58 eV/atom. The volume is 13.2 Å³/atom. The total moment is 0.00 Bohr magnetons per cell. As for the density: 4.50 g cm⁻³.

Crystalline RhSN2O at its relaxed geometry, computed with GGA-PBEsol.

abc: 3.7964 3.7964 3.8115
angles: 90.00 90.00 90.00
With the nearest neighbours (Å) after each atom.
Fractional coordinates of all 5 atoms:
N 0.0000 0.5000 0.0000  2 Rh 1.90
Rh 0.0000 0.0000 0.0000  4 N 1.90, 2 O 1.91
N 0.5000 0.0000 0.0000  2 Rh 1.90
O 0.0000 0.0000 0.5000  2 Rh 1.91
S 0.5000 0.5000 0.5000  4 O 2.68, 8 N 2.69

Output
The space group is P4/mmm, No. 123. The value obtained for the uncorrected formation energy is 572 kJ/mol of formula units. The crystal system is tetragonal. Its calculated total energy is -5.78 eV/atom. The volume is 11.0 Å³/atom. The total moment is 0.00 Bohr magnetons per cell. As for the density: 5.41 g cm⁻³.

Crystalline RhSN2O at its relaxed geometry, computed with GGA-PBEsol.

abc: 3.6716 3.6716 3.6662
angles: 90.00 90.00 90.00
With the nearest neighbours (Å) after each atom.
Fractional coordinates of all 5 atoms:
N 0.5000 0.0000 0.0000  2 O 1.84
S 0.0000 0.0000 0.5000  2 O 1.83
Rh 0.5000 0.5000 0.5000  8 N 2.59, 4 S 2.60
N 0.0000 0.5000 0.0000  2 O 1.84
O 0.0000 0.0000 0.0000  2 S 1.83, 4 N 1.84

Output
The space group is P4/mmm, No. 123. The value obtained for the uncorrected formation energy is 904 kJ/mol of formula units. The crystal system is tetragonal. Its calculated total energy is -5.09 eV/atom. The volume is 9.9 Å³/atom. The total moment is 0.00 Bohr magnetons per cell. As for the density: 6.01 g cm⁻³.

Crystalline SiRhN2O at its relaxed geometry, computed with GGA-PBEsol.

abc: 3.4057 3.6150 3.6150
angles: 90.00 90.00 90.00
With the nearest neighbours (Å) after each atom.
Fractional coordinates of all 5 atoms:
Si 0.0000 0.0000 0.0000  2 O 1.70, 4 N 1.81
Rh 0.5000 0.5000 0.5000  8 N 2.48, 4 O 2.56
N 0.0000 0.5000 0.0000  2 Si 1.81
N 0.0000 0.0000 0.5000  2 Si 1.81
O 0.5000 0.0000 0.0000  2 Si 1.70

Output
The space group is P4/mmm, No. 123. The value obtained for the uncorrected formation energy is 23 kJ/mol of formula units. The crystal system is tetragonal. Its calculated total energy is -7.19 eV/atom. The volume is 8.9 Å³/atom. The total moment is 0.01 Bohr magnetons per cell. As for the density: 6.53 g cm⁻³.

Crystalline SiRhNO2 at its relaxed geometry, computed with GGA-PBEsol.

abc: 3.6215 3.9652 3.9652
angles: 90.00 90.00 90.00
With the nearest neighbours (Å) after each atom.
Fractional coordinates of all 5 atoms:
Si 0.5000 0.5000 0.5000  8 O 2.69, 4 N 2.80
O 0.0000 0.0000 0.5000  2 Rh 1.98
O 0.0000 0.5000 0.0000  2 Rh 1.98
N 0.5000 0.0000 0.0000  2 Rh 1.81
Rh 0.0000 0.0000 0.0000  2 N 1.81, 4 O 1.98

Output
The space group is P4/mmm, No. 123. The value obtained for the uncorrected formation energy is 124 kJ/mol of formula units. The crystal system is tetragonal. Its calculated total energy is -6.32 eV/atom. The volume is 11.4 Å³/atom. The total moment is 0.00 Bohr magnetons per cell. As for the density: 5.16 g cm⁻³.

Crystalline TaRhNO2 at its relaxed geometry, computed with GGA-PBEsol.

abc: 3.7572 3.7572 3.8563
angles: 90.00 90.00 90.00
With the nearest neighbours (Å) after each atom.
Fractional coordinates of all 5 atoms:
N 0.0000 0.0000 0.5000  2 Rh 1.93
O 0.5000 0.0000 0.0000  2 Rh 1.88
Ta 0.5000 0.5000 0.5000  4 N 2.66, 8 O 2.69
Rh 0.0000 0.0000 0.0000  4 O 1.88, 2 N 1.93
O 0.0000 0.5000 0.0000  2 Rh 1.88

Output
The space group is P4/mmm, No. 123. The value obtained for the uncorrected formation energy is 95 kJ/mol of formula units. The crystal system is tetragonal. Its calculated total energy is -7.75 eV/atom. The volume is 10.9 Å³/atom. The total moment is 0.37 Bohr magnetons per cell. As for the density: 10.06 g cm⁻³.